(1)
# Li4NiRh3O8, relaxed, DFT PBE+U
# Calculated total energy   -5.774 eV/atom
# Crystal system   trigonal
# Total magnetization   2.84 μB/f.u.
# DOS(E_F)   23.155 states/eV per cell
data_Li4NiRh3O8
_chemical_formula_sum 'Li12 Ni3 Rh9 O24'
_cell_length_a 6.1001
_cell_length_b 6.1001
_cell_length_c 14.3321
_cell_angle_alpha 90.00
_cell_angle_beta 90.00
_cell_angle_gamma 120.00
_symmetry_space_group_name_H-M 'R -3 m'
_symmetry_Int_Tables_number 166
_symmetry_space_group_name_Hall '-R 3 2"'
loop_
_atom_site_label
_atom_site_type_symbol
_atom_site_fract_x
_atom_site_fract_y
_atom_site_fract_z
Li1 Li 0.0000 0.0000 0.0000
Li2 Li 0.0000 0.5000 0.0000
Ni1 Ni 0.0000 0.0000 0.5000
Rh1 Rh 0.0000 0.5000 0.5000
O1 O 0.0000 0.0000 0.2432
O2 O 0.0066 0.5033 0.7566



(2)
# Li3Ni2RuO6, relaxed, DFT PBE+U
# Calculated total energy   -5.575 eV/atom
# Crystal system   monoclinic
# Total magnetization   7.01 μB/f.u.
data_Li3Ni2RuO6
_chemical_formula_sum 'Li6 Ni4 Ru2 O12'
_cell_length_a 5.165
_cell_length_b 8.938
_cell_length_c 5.168
_cell_angle_alpha 90.00
_cell_angle_beta 109.62
_cell_angle_gamma 90.00
_symmetry_space_group_name_H-M 'C 1 2/m 1'
_symmetry_Int_Tables_number 12
_symmetry_space_group_name_Hall '-C 2y'
loop_
_atom_site_label
_atom_site_type_symbol
_atom_site_fract_x
_atom_site_fract_y
_atom_site_fract_z
Li1 Li 0.000 0.000 0.000
Li2 Li 0.000 0.332 0.000
Ni1 Ni 0.000 0.167 0.500
Ru1 Ru 0.000 0.500 0.500
O1 O 0.237 0.341 0.735
O2 O 0.240 0.500 0.269



(3)
# Li3Ni3RuO8, relaxed, DFT PBE+U
# Calculated total energy   -5.390 eV/atom
# Crystal system   trigonal
# Total magnetization   7.04 μB/f.u.
# DOS(E_F)   12.788 states/eV per cell
data_Li3Ni3RuO8
_chemical_formula_sum 'Li9 Ni9 Ru3 O24'
_cell_length_a 5.9737
_cell_length_b 5.9737
_cell_length_c 14.5117
_cell_angle_alpha 90.00
_cell_angle_beta 90.00
_cell_angle_gamma 120.00
_symmetry_space_group_name_H-M 'R -3 m'
_symmetry_Int_Tables_number 166
_symmetry_space_group_name_Hall '-R 3 2"'
loop_
_atom_site_label
_atom_site_type_symbol
_atom_site_fract_x
_atom_site_fract_y
_atom_site_fract_z
Li1 Li 0.0000 0.5000 0.0000
Ni1 Ni 0.0000 0.5000 0.5000
Ru1 Ru 0.0000 0.0000 0.5000
O1 O 0.0000 0.0000 0.2364
O2 O 0.0243 0.5122 0.2425



(4)
# Li3Ni3SbO8, relaxed, DFT PBE+U
# Calculated total energy   -5.176 eV/atom
# Crystal system   monoclinic
# Total magnetization   4.00 μB/f.u.
# DOS(E_F)   0.461 states/eV per cell
data_Li3Ni3SbO8
_chemical_formula_sum 'Li6 Ni6 Sb2 O16'
_cell_length_a 10.286
_cell_length_b 5.998
_cell_length_c 6.034
_cell_angle_alpha 90.00
_cell_angle_beta 125.01
_cell_angle_gamma 90.00
_symmetry_space_group_name_H-M 'C 1 2/m 1'
_symmetry_Int_Tables_number 12
_symmetry_space_group_name_Hall '-C 2y'
loop_
_atom_site_label
_atom_site_type_symbol
_atom_site_fract_x
_atom_site_fract_y
_atom_site_fract_z
Li1 Li 0.000 0.000 0.000
Li2 Li 0.250 0.250 0.000
Ni1 Ni 0.000 0.500 0.500
Ni2 Ni 0.250 0.250 0.500
Sb1 Sb 0.000 0.000 0.500
O1 O 0.018 0.240 0.285
O2 O 0.234 0.000 0.749
O3 O 0.246 0.500 0.701



(5)
# LiNiSbO4, relaxed, DFT PBE+U
# Calculated total energy   -5.424 eV/atom
# Crystal system   orthorhombic
# Total magnetization   2.00 μB/f.u.
# Offset from the most stable computed form   1.30 eV per formula unit
data_LiNiSbO4
_chemical_formula_sum 'Li4 Ni4 Sb4 O16'
_cell_length_a 10.716
_cell_length_b 6.023
_cell_length_c 5.207
_cell_angle_alpha 90.00
_cell_angle_beta 90.00
_cell_angle_gamma 90.00
_symmetry_space_group_name_H-M 'P n m a'
_symmetry_Int_Tables_number 62
_symmetry_space_group_name_Hall '-P 2ac 2n'
loop_
_atom_site_label
_atom_site_type_symbol
_atom_site_fract_x
_atom_site_fract_y
_atom_site_fract_z
Li1 Li 0.000 0.000 0.000
Ni1 Ni 0.232 0.250 0.495
Sb1 Sb 0.099 0.750 0.537
O1 O 0.063 0.250 0.306
O2 O 0.093 0.750 0.172
O3 O 0.177 0.514 0.726



(6)
# Li2Ni2SbO6, relaxed, DFT PBE+U
# Calculated total energy   -5.315 eV/atom
# Crystal system   monoclinic
# Total magnetization   3.00 μB/f.u.
# Offset from the most stable computed form   0.00 eV per formula unit
# DOS(E_F)   6.264 states/eV per cell
data_Li2Ni2SbO6
_chemical_formula_sum 'Li4 Ni4 Sb2 O12'
_cell_length_a 5.304
_cell_length_b 8.879
_cell_length_c 5.315
_cell_angle_alpha 90.00
_cell_angle_beta 112.02
_cell_angle_gamma 90.00
_symmetry_space_group_name_H-M 'C 1 2/m 1'
_symmetry_Int_Tables_number 12
_symmetry_space_group_name_Hall '-C 2y'
loop_
_atom_site_label
_atom_site_type_symbol
_atom_site_fract_x
_atom_site_fract_y
_atom_site_fract_z
Li1 Li 0.000 0.185 0.000
Ni1 Ni 0.000 0.335 0.500
Sb1 Sb 0.000 0.000 0.500
O1 O 0.229 0.170 0.723
O2 O 0.243 0.000 0.287